Record 1
Sr2ReBr: optimized geometry, GGA-PBEsol.

Lattice parameters (Å, degrees): 4.381 4.381 11.449 90.00 90.00 90.00
Sites, in units of the cell vectors:
Sr (0.000, 0.000, 0.000)
Sr (0.000, 0.500, 0.250)
Sr (0.500, 0.000, 0.750)
Sr (0.500, 0.500, 0.500)
Re (0.000, 0.500, 0.750)
Re (0.500, 0.000, 0.250)
Br (0.000, 0.000, 0.500)
Br (0.500, 0.500, 0.000)

Computed properties:
Energy relative to the elements, uncorrected in eV/atom: 0.556
Polymorph energy (0 for the lowest one) in meV per atom: 288
Space group: I-4m2, No. 119
Spin magnetization in μB per formula unit: 2.12
E in eV per atom: -4.1650
Calculated density in Mg/m³: 6.67

Record 2
Sc5Ta: optimized geometry, GGA-PBEsol.

Lattice parameters (Å, degrees): 5.007 3.139 16.738 90.00 90.00 90.00
Sites, in units of the cell vectors:
Sc (0.000, 0.000, 0.000)
Sc (0.000, 0.000, 0.316)
Sc (0.000, 0.500, 0.500)
Sc (0.000, 0.500, 0.816)
Sc (0.500, 0.000, 0.103)
Sc (0.500, 0.000, 0.431)
Sc (0.500, 0.000, 0.761)
Sc (0.500, 0.500, 0.261)
Sc (0.500, 0.500, 0.603)
Sc (0.500, 0.500, 0.931)
Ta (0.000, 0.000, 0.657)
Ta (0.000, 0.500, 0.157)

Computed properties:
Polymorph energy (0 for the lowest one) in meV per atom: 0
Space group: Amm2, No. 38
Spin magnetization in μB per formula unit: 0.00
E in eV per atom: -7.5171
Formation energy from the elements in kJ/mol of atoms: 7.62
Calculated density in Mg/m³: 5.12

Record 3
TiTe2AuN: optimized geometry, GGA-PBEsol.

Lattice parameters (Å, degrees): 5.386 5.386 3.673 90.00 90.00 90.00
Sites, in units of the cell vectors:
Ti (0.000, 0.000, 0.000)
Te (0.000, 0.500, 0.000)
Te (0.500, 0.000, 0.000)
Au (0.500, 0.500, 0.500)
N (0.000, 0.000, 0.500)

Computed properties:
Energy relative to the elements, uncorrected in eV/atom: 0.131
Space group: P4/mmm, No. 123
Spin magnetization in μB per formula unit: 0.00
E in eV per atom: -5.4341
Calculated density in Mg/m³: 8.01

Record 4
In3Hg: optimized geometry, GGA-PBEsol.

Lattice parameters (Å, degrees): 3.867 5.169 9.933 90.00 90.00 90.00
Sites, in units of the cell vectors:
In (0.000, 0.000, 0.000)
In (0.000, 0.500, 0.242)
In (0.000, 0.500, 0.758)
In (0.500, 0.000, 0.258)
In (0.500, 0.000, 0.742)
In (0.500, 0.500, 0.500)
Hg (0.000, 0.000, 0.500)
Hg (0.500, 0.500, 0.000)

Computed properties:
Space group: Immm, No. 71
Spin magnetization in μB per formula unit: 0.00
E in eV per atom: -2.3809
Formation energy from the elements in kJ/mol of atoms: -0.20
Calculated density in Mg/m³: 9.12

Record 5
Ta2NiSnTe: optimized geometry, GGA-PBEsol.

Lattice parameters (Å, degrees): 4.780 4.780 4.491 90.00 90.00 90.00
Sites, in units of the cell vectors:
Ta (0.000, 0.500, 0.000)
Ta (0.500, 0.000, 0.000)
Ni (0.000, 0.000, 0.000)
Sn (0.000, 0.000, 0.500)
Te (0.500, 0.500, 0.500)

Computed properties:
Energy relative to the elements, uncorrected in eV/atom: 0.749
Space group: P4/mmm, No. 123
Spin magnetization in μB per formula unit: 0.00
E in eV per atom: -7.0595
Calculated density in Mg/m³: 10.79

Record 6
KY2Cu: optimized geometry, GGA-PBEsol.

Lattice parameters (Å, degrees): 3.475 3.475 10.321 90.00 90.00 90.00
Sites, in units of the cell vectors:
K (0.000, 0.000, 0.000)
Y (0.500, 0.500, 0.345)
Y (0.500, 0.500, 0.655)
Cu (0.000, 0.000, 0.500)

Computed properties:
Polymorph energy (0 for the lowest one) in meV per atom: 0
Space group: P4/mmm, No. 123
Spin magnetization in μB per formula unit: 0.00
E in eV per atom: -4.6395
Formation energy from the elements in kJ/mol of atoms: 13.36
Calculated density in Mg/m³: 3.74

Record 7
Rb2LiTaS4: optimized geometry, GGA-PBEsol.

Lattice parameters (Å, degrees): 6.989 11.341 11.856 71.62 87.98 84.00
Sites, in units of the cell vectors:
Rb (0.182, 0.096, 0.252)
Rb (0.238, 0.625, 0.723)
Rb (0.249, 0.651, 0.350)
Rb (0.252, 0.155, 0.859)
Rb (0.748, 0.845, 0.141)
Rb (0.751, 0.349, 0.650)
Rb (0.762, 0.375, 0.277)
Rb (0.818, 0.904, 0.748)
Li (0.273, 0.477, 0.071)
Li (0.323, 0.989, 0.585)
Li (0.677, 0.011, 0.415)
Li (0.727, 0.523, 0.929)
Ta (0.275, 0.274, 0.485)
Ta (0.280, 0.769, 0.985)
Ta (0.720, 0.231, 0.015)
Ta (0.725, 0.726, 0.515)
S (0.024, 0.660, 0.991)
S (0.041, 0.143, 0.531)
S (0.230, 0.895, 0.100)
S (0.249, 0.401, 0.599)
S (0.260, 0.381, 0.289)
S (0.332, 0.885, 0.794)
S (0.443, 0.853, 0.469)
S (0.467, 0.375, 0.939)
S (0.533, 0.625, 0.061)
S (0.557, 0.147, 0.531)
S (0.668, 0.115, 0.206)
S (0.740, 0.619, 0.711)
S (0.751, 0.599, 0.401)
S (0.770, 0.105, 0.900)
S (0.959, 0.857, 0.469)
S (0.976, 0.340, 0.009)

Computed properties:
Energy relative to the elements, uncorrected in eV/atom: -1.250
Space group: P-1, No. 2
Spin magnetization in μB per formula unit: 0.00
E in eV per atom: -5.5130
Calculated density in Mg/m³: 3.65

Record 8
Ag3RhN: optimized geometry, GGA-PBEsol.

Lattice parameters (Å, degrees): 4.971 4.971 4.971 90.00 90.00 90.00
Sites, in units of the cell vectors:
Ag (0.000, 0.000, 0.500)
Ag (0.000, 0.500, 0.000)
Ag (0.500, 0.000, 0.000)
Rh (0.000, 0.000, 0.000)
N (0.500, 0.500, 0.500)

Computed properties:
Energy relative to the elements, uncorrected in eV/atom: 2.180
Space group: Pm-3m, No. 221
Spin magnetization in μB per formula unit: 3.32
E in eV per atom: -3.1401
Calculated density in Mg/m³: 5.95